No. 1
Li3CdOs, relaxed, DFT PBE; E above lowest polymorph = 0 meV/atom
1.0
4.777 0.000 0.000
0.000 4.777 0.000
0.000 0.000 4.777
Li Os Cd
3 1 1
Cartesian
0.000 2.388 0.000 Li
0.000 0.000 2.388 Li
2.388 0.000 0.000 Li
0.000 0.000 0.000 Os
2.388 2.388 2.388 Cd



No. 2
Entry from Alexandria: crystalline LiCd2Os at its relaxed geometry (PBE).

```
LiCd2Os
1.0
2.858 0.000 0.000
0.000 2.858 0.000
0.000 0.000 8.506
Cd Li Os
2 1 1
Cartesian
0.000 0.000 8.491 Cd
0.000 0.000 4.268 Cd
1.429 1.429 2.127 Li
1.429 1.429 6.380 Os
```



No. 3
Entry from Alexandria: crystalline LiCd2Os at its relaxed geometry (PBE).

```
LiCd2Os
1.0
2.804 -0.024 0.000
-1.211 2.529 0.000
0.000 0.000 9.813
Cd Li Os
2 1 1
Cartesian
0.000 0.000 9.638 Cd
0.797 1.253 2.623 Cd
0.000 0.000 5.076 Li
0.797 1.253 7.195 Os
```



No. 4
Entry from Alexandria: crystalline LiCd2Os at its relaxed geometry (PBE).

```
LiCd2Os
1.0
-2.923 2.319 -2.653
0.326 -0.285 -4.557
-3.198 -2.243 -2.387
Cd Li Os
2 1 1
Cartesian
0.000 0.000 0.000 Cd
-1.449 -0.053 -2.399 Cd
-2.898 -0.105 -4.799 Li
-4.346 -0.158 -7.198 Os
```



no.,energy relative to the elements (eV per atom),N(E_F) (states/eV per atom)
1,0.90,0.443
2,0.32,0.890
3,0.31,0.687
4,0.48,1.441